1.
! Sm4CCl3F2 | OQMD via LeMat-Bulk | PBE-GGA | optimized geometry; values from VASP
&SYSTEM
  ibrav = 0, nat = 10, ntyp = 4
/
ATOMIC_SPECIES
Sm 150.36 Sm.upf
Cl 35.45 Cl.upf
C 12.01 C.upf
F 19.00 F.upf
CELL_PARAMETERS angstrom
7.879 -1.880 0.000
7.879 1.880 0.000
-2.149 0.000 7.654
ATOMIC_POSITIONS angstrom
Sm 15.184 0.000 1.600
Cl 6.804 0.000 3.827
Sm 3.424 0.000 6.938
C 7.879 0.000 0.000
Sm 10.185 0.000 0.716
F 0.829 0.000 6.937
Sm -1.575 0.000 6.054
F 12.780 0.000 0.717
Cl 11.575 0.000 4.971
Cl 2.034 0.000 2.683
! Total energy   -5.81 eV per atom
! Space-group type   No. 12
! Size of the total moment   0.001 μB per atom

2.
! Tb2CClF | OQMD via LeMat-Bulk | PBE-GGA | optimized geometry; values from VASP
&SYSTEM
  ibrav = 0, nat = 5, ntyp = 4
/
ATOMIC_SPECIES
Tb 158.93 Tb.upf
C 12.01 C.upf
Cl 35.45 Cl.upf
F 19.00 F.upf
CELL_PARAMETERS angstrom
-2.757 -2.418 -0.212
3.458 -1.184 0.358
-0.752 0.172 7.831
ATOMIC_POSITIONS angstrom
Tb -1.210 -1.887 5.446
C -0.387 0.088 4.028
Cl -0.773 -1.987 0.891
Tb 1.122 -1.535 2.920
F 0.771 -1.455 6.586
! Total energy   -6.39 eV per atom
! Space-group type   No. 156
! Size of the total moment   0.001 μB per atom

3.
! Tm2CClF | OQMD via LeMat-Bulk | PBE-GGA | optimized geometry; values from VASP
&SYSTEM
  ibrav = 0, nat = 5, ntyp = 4
/
ATOMIC_SPECIES
Tm 168.93 Tm.upf
C 12.01 C.upf
Cl 35.45 Cl.upf
F 19.00 F.upf
CELL_PARAMETERS angstrom
3.589 0.000 0.000
-1.794 3.108 0.000
0.000 0.000 7.555
ATOMIC_POSITIONS angstrom
Tm 1.794 1.036 1.121
Tm 0.000 2.072 6.055
C 0.000 0.000 7.443
Cl 0.000 2.072 2.919
F 1.794 1.036 5.128
! Total energy   -6.37 eV per atom
! Space-group type   No. 156
! Size of the total moment   0.001 μB per atom

4.
! FeH5C5Cl2 | OQMD via LeMat-Bulk | PBE-GGA | optimized geometry; values from VASP
&SYSTEM
  ibrav = 0, nat = 104, ntyp = 4
/
ATOMIC_SPECIES
C 12.01 C.upf
H 1.01 H.upf
Cl 35.45 Cl.upf
Fe 55.84 Fe.upf
CELL_PARAMETERS angstrom
-13.609 -0.294 -2.333
0.444 -8.589 -1.509
-1.929 -2.125 11.522
ATOMIC_POSITIONS angstrom
C -13.446 -9.180 3.680
H -3.438 -6.946 8.479
C -1.052 -8.393 5.447
C -0.084 -3.514 0.640
C -7.651 -6.737 4.897
Cl -3.513 -7.322 2.742
C -7.534 -9.015 4.497
C -8.562 -7.838 8.306
C -12.538 -1.996 -0.845
H -5.355 -1.646 3.017
H -9.341 -9.912 8.001
C -6.186 -2.348 3.027
C -2.333 -2.938 3.402
H -1.912 -2.328 0.053
Cl -1.951 -3.709 7.904
H -5.666 -7.750 4.543
C -6.359 -8.366 7.846
Cl -4.453 -5.316 5.874
C -8.908 -8.660 4.653
C -12.761 -8.070 4.277
C -1.648 -1.828 4.000
H -9.878 -6.691 5.132
H -5.294 -8.278 7.662
H -1.536 -9.381 2.477
C -8.490 -9.237 8.060
C -8.980 -7.260 4.899
H -9.428 -3.258 3.137
H -9.801 -2.729 0.018
Cl -9.807 -6.906 -1.477
H -7.502 -9.576 1.815
H -7.197 -1.967 9.015
C -14.175 -8.654 7.184
H -11.815 -8.114 4.806
H -0.137 -8.812 -0.366
H -13.337 -5.900 4.452
Fe -4.062 -6.980 0.634
C -7.443 -4.271 2.783
Fe -14.557 -8.325 5.204
C -12.465 -3.396 -1.091
H -14.957 -2.195 8.046
C -7.561 -1.992 3.183
H -5.217 -4.317 2.548
C -0.202 -1.235 1.040
Fe -4.083 -3.722 7.350
H -3.300 -9.617 8.010
H -1.838 -8.996 4.997
H -13.183 -8.680 7.627
H -7.592 -1.431 5.865
C -7.845 -3.718 -0.494
C -14.042 -2.615 2.233
H -8.119 -4.767 -0.584
C -6.532 -3.170 -0.626
Cl -10.458 -9.240 1.182
Fe -11.032 -4.028 7.046
H -9.740 -9.362 4.663
C -14.892 -9.772 6.640
C -1.125 -6.994 5.693
H -7.371 -5.710 5.113
H -5.754 -1.096 -0.321
C -6.605 -1.771 -0.380
C -6.114 -3.748 2.781
Cl -4.637 -1.767 6.498
C -1.530 -4.111 3.599
C -13.564 -6.897 4.081
H -6.976 -6.241 8.264
Fe -0.537 -2.682 2.476
H -7.724 -5.297 2.567
C -7.131 -9.573 7.773
H -13.120 -4.652 2.219
Cl -13.144 -7.298 -0.224
C -8.736 -2.642 -0.166
C -7.250 -7.289 8.174
C -15.010 -7.494 7.040
Cl -11.755 -6.010 7.679
H -13.558 -1.626 5.203
C -8.347 -3.187 3.050
C -2.629 -7.612 8.771
Cl -3.156 -8.546 -0.623
Cl -10.641 -5.692 1.806
H -9.477 -7.271 8.465
H -3.279 -2.894 2.874
H -1.974 -6.355 5.461
Fe -7.341 -2.829 1.307
Cl -8.838 -3.948 7.234
H -14.736 -6.475 7.294
Cl -11.581 -3.686 4.938
H -11.656 -4.062 -0.799
Fe -11.012 -7.286 0.330
Cl -5.288 -4.102 9.157
H -1.757 -5.108 3.228
H -13.256 -2.012 2.683
H -11.794 -1.391 -0.330
H -7.898 -9.040 -1.335
Cl -3.339 -4.997 0.001
C -6.748 -7.821 4.630
H -0.359 -4.533 0.386
Cl -11.939 -2.462 8.303
Cl -6.256 -7.060 0.446
C -0.919 -2.354 0.496
C -13.970 -4.014 1.987
Fe -7.753 -8.179 6.373
H -5.617 -3.737 -0.785
C -7.963 -1.435 -0.093
C -2.556 -9.012 8.525
! Total energy   -5.94 eV per atom
! Space-group type   No. 62
! Size of the total moment   0.231 μB per atom

5.
! FeH12C8N6Cl4 | OQMD via LeMat-Bulk | PBE-GGA | optimized geometry; values from VASP
&SYSTEM
  ibrav = 0, nat = 31, ntyp = 5
/
ATOMIC_SPECIES
N 14.01 N.upf
H 1.01 H.upf
C 12.01 C.upf
Cl 35.45 Cl.upf
Fe 55.84 Fe.upf
CELL_PARAMETERS angstrom
-3.559 -3.318 5.236
-0.632 -5.161 -4.994
7.276 1.632 2.100
ATOMIC_POSITIONS angstrom
N -1.268 -6.143 -0.810
H 5.415 -0.228 0.840
H 2.286 -5.899 -0.322
C -0.895 -3.484 1.496
H 0.105 -3.774 1.183
Cl 1.629 -3.348 -1.344
C 3.899 -1.101 4.369
Fe 3.322 -1.765 -1.447
C 5.685 -3.322 -0.722
C -2.601 -3.526 3.065
C -0.814 -5.747 -2.027
C 5.587 -1.072 2.717
Cl 0.555 -6.150 1.873
H -0.678 -6.739 -0.208
N 4.423 -2.930 -0.336
N 4.353 -0.705 3.152
C 3.980 -3.363 0.846
H -2.331 -6.620 1.502
H 3.763 -0.109 2.550
N 6.017 -0.711 1.513
Cl 1.455 -3.500 3.686
H 3.405 -4.208 3.241
H -0.320 -2.640 -0.899
H 6.023 -3.014 -1.706
H 2.979 -3.074 1.160
N -2.932 -6.137 0.829
H 0.799 -0.949 2.664
H -2.938 -3.834 4.048
N -1.338 -3.917 2.678
Cl 2.530 -0.698 0.469
C -2.502 -5.776 -0.374
! Total energy   -6.02 eV per atom
! Space-group type   No. 2
! Size of the total moment   0.000 μB per atom

6.
! FeH16C4N2Cl5 | OQMD via LeMat-Bulk | PBE-GGA | optimized geometry; values from VASP
&SYSTEM
  ibrav = 0, nat = 112, ntyp = 5
/
ATOMIC_SPECIES
H 1.01 H.upf
Cl 35.45 Cl.upf
Fe 55.84 Fe.upf
C 12.01 C.upf
N 14.01 N.upf
CELL_PARAMETERS angstrom
9.874 0.000 0.000
-4.323 9.770 0.000
0.000 0.000 14.733
ATOMIC_POSITIONS angstrom
H -0.886 9.249 14.563
H 6.948 1.704 4.630
Cl 5.873 5.728 0.000
H 2.889 6.771 4.151
H 4.030 9.320 13.777
Fe 4.782 6.240 12.900
Cl -0.331 1.868 2.795
H 0.764 3.181 11.997
H 5.423 1.622 5.572
C 8.174 0.630 13.758
N 2.391 2.158 11.138
H 0.500 7.884 11.517
N 5.321 2.727 3.771
Cl 2.919 0.360 4.171
H 3.326 8.831 5.309
H 0.128 8.148 9.161
H 6.436 0.521 0.170
H 2.224 0.938 9.424
H 0.800 2.013 7.252
H 4.445 7.576 9.235
H 4.237 9.402 3.872
C 6.071 2.264 4.967
H 3.242 1.646 11.462
Cl -0.322 4.041 0.000
Cl 1.859 4.802 9.458
C 3.948 8.525 4.461
C 1.642 2.621 12.333
Cl -0.302 9.687 12.642
H 6.375 3.140 5.547
Cl 0.758 5.245 3.196
H 6.912 2.872 14.618
H 3.115 7.293 8.068
H -1.362 6.898 0.115
Cl 3.691 4.968 5.275
C 3.909 7.149 2.400
Cl 0.669 7.821 6.063
H 1.313 0.368 10.861
H 4.213 8.025 1.820
H 0.063 5.823 12.675
H 2.309 8.124 3.271
H 1.521 0.450 0.956
H -3.168 8.636 0.168
C 6.012 5.515 8.342
Cl 5.882 7.901 11.938
H 1.276 4.364 7.536
H 3.980 5.237 8.838
H 8.719 1.133 14.565
C 1.358 2.571 6.495
H 0.274 7.362 0.702
H -1.451 6.661 12.177
H 1.337 1.745 12.913
H 0.711 1.776 9.922
C -0.804 7.456 0.871
C 6.354 2.314 13.862
H 2.661 2.999 10.582
N 4.564 5.763 8.150
C -0.559 6.130 11.828
Cl -2.493 6.753 4.572
Cl 8.034 0.844 7.365
H -0.591 9.418 1.472
H 3.261 6.507 1.794
H 2.435 2.477 6.665
Cl 4.793 4.525 11.537
N -1.175 8.891 0.783
H -0.767 3.853 5.419
Cl 8.044 3.017 10.161
N 3.160 7.612 3.595
H -1.397 8.066 10.103
H 4.471 3.239 4.096
Fe 6.944 1.355 9.199
Cl -2.484 8.926 7.367
H 1.571 4.533 5.895
H -0.824 6.630 9.186
H 1.106 2.194 5.498
Cl 5.853 0.083 2.091
H -1.056 7.079 1.868
N 0.229 7.043 10.961
C -2.623 9.140 0.975
H 7.002 3.109 2.556
H 6.399 4.517 3.494
C 4.193 7.199 8.238
H 6.317 5.917 9.314
H -0.849 5.253 11.239
H -2.929 8.738 1.948
H 6.192 4.435 8.322
N 0.987 4.007 6.583
C -0.520 7.506 9.766
N 6.726 0.878 13.949
H 4.786 6.589 2.736
C 1.603 1.245 10.272
H 2.289 3.263 12.939
H 4.275 5.406 7.197
H 1.080 6.531 10.637
H 6.141 0.352 13.261
H 4.840 7.994 4.811
H 5.488 3.946 2.058
H 8.479 1.032 12.785
H 5.277 2.408 14.031
C 6.109 3.640 2.905
H 5.051 1.886 3.216
Cl 4.881 1.949 8.670
H -1.006 3.751 7.199
H 4.751 7.757 7.481
H 6.557 6.018 7.534
Fe -1.393 8.415 5.534
H 6.607 2.691 12.865
Cl 2.631 9.410 10.562
Fe 0.768 3.530 1.832
Cl 2.719 6.834 13.430
H -0.641 5.335 6.411
C -0.462 4.255 6.391
Cl 2.831 2.936 1.303
! Total energy   -4.89 eV per atom
! Space-group type   No. 14
! Size of the total moment   0.179 μB per atom

7.
! FeH16C4N2Cl4 | OQMD via LeMat-Bulk | PBE-GGA | optimized geometry; values from VASP
&SYSTEM
  ibrav = 0, nat = 108, ntyp = 5
/
ATOMIC_SPECIES
C 12.01 C.upf
H 1.01 H.upf
N 14.01 N.upf
Cl 35.45 Cl.upf
Fe 55.84 Fe.upf
CELL_PARAMETERS angstrom
-1.443 -7.582 1.046
4.923 -2.285 -9.774
13.684 4.597 5.818
ATOMIC_POSITIONS angstrom
C 4.087 -0.104 1.881
H 5.009 -0.705 -4.979
N 3.479 -7.806 -3.005
C 16.516 -3.290 -2.930
H 3.190 -3.496 -1.683
H 7.777 -3.656 -1.879
H 0.839 -2.957 -1.785
H 7.285 -4.576 4.177
C 3.929 -6.394 -3.122
Cl 5.511 -1.915 -6.680
C 11.487 -4.269 0.126
H 13.332 0.906 -5.012
C 9.358 -0.548 -0.782
H 7.469 -3.109 -4.337
H 14.692 2.547 -0.152
N 13.685 2.536 0.095
H 16.883 -2.408 -3.464
H 3.270 -2.712 -0.074
C 7.433 -4.186 -4.530
H 2.472 -7.817 -2.759
C 2.629 -3.261 -0.773
C 7.806 -4.722 -2.129
Cl 10.796 -3.071 -3.004
H 4.928 -0.719 2.216
H 13.263 0.672 -0.785
Cl 1.259 -7.127 -0.720
H 13.974 -1.773 -1.228
N 1.464 -2.415 -1.144
Cl 8.237 -4.891 1.919
H 7.910 -0.765 0.668
H 3.676 -8.480 -8.377
Cl 12.112 0.495 -3.294
N 12.637 -6.582 -4.696
H 14.900 -1.084 -2.598
H 8.305 -5.905 -3.747
H 15.899 -3.899 -3.600
C 0.648 -1.979 0.019
H 15.602 0.342 -4.445
H 10.361 -0.119 -0.879
H 10.759 -0.715 1.548
Fe 3.726 -3.329 -6.349
H 11.602 -4.754 -0.847
Cl 12.170 -1.796 -6.226
Cl 11.653 -3.355 3.770
C 14.535 -2.008 -2.138
Cl 5.052 -5.765 0.383
C 10.261 2.346 4.356
H 8.985 -2.827 4.272
H 11.899 -3.255 0.090
Fe 11.020 -1.240 -4.337
H 4.953 -6.397 -3.510
H 6.137 -7.692 -6.490
H 9.695 -2.160 1.426
H 6.803 -5.151 -2.032
C 13.235 1.125 0.212
H 13.488 3.211 5.466
N 8.884 -0.385 0.617
Cl 8.927 -0.379 -4.829
N 4.527 1.313 1.785
H 6.405 -4.555 -4.459
H 2.264 -4.185 -0.313
Fe 6.144 -4.030 1.427
H 3.268 -5.862 -3.812
N 15.700 -2.854 -1.767
H 11.027 2.422 3.579
H 16.325 -2.313 -1.126
H 8.859 0.636 0.837
H 9.387 -1.614 -1.032
H 15.362 -3.707 -1.266
C 13.077 -5.166 -4.791
H 10.431 -4.254 0.419
H 12.236 -4.551 -5.126
H 5.562 -0.516 -2.063
H 3.901 -5.941 -2.125
H 1.802 -1.563 -1.644
C 5.677 -1.001 -3.036
H 0.281 -2.861 0.554
C 6.903 -7.616 -7.266
H 7.310 -6.600 -7.293
H 9.879 -0.693 -7.088
H 3.760 -0.424 0.886
H 12.155 -4.565 2.068
Cl 4.286 -5.523 -6.572
Cl 12.878 0.253 3.661
H 8.500 -5.245 -1.463
H 13.404 -4.846 -3.797
H 13.894 -2.557 -2.836
H 3.832 -6.176 2.102
H 9.254 -4.505 -3.578
H 9.331 -0.873 2.617
H 13.896 0.593 0.901
Cl 6.368 -2.199 0.094
H 1.562 -5.612 1.534
C 9.731 -1.084 1.620
Cl 14.288 -2.313 1.356
H 8.664 -0.024 -1.448
H 8.179 -2.443 -7.183
Cl 15.905 1.857 -2.190
H 9.854 1.330 4.382
H 12.211 1.128 0.600
Fe 13.438 -1.941 3.439
H 1.265 -1.371 0.689
Cl 2.876 -2.957 -4.267
H 7.833 -4.397 -5.527
N 8.280 -4.885 -3.527
H 5.266 -2.015 -3.000
H 6.733 -1.016 -3.330
Cl 4.994 -3.474 3.315
! Total energy   -4.95 eV per atom
! Space-group type   No. 14
! Size of the total moment   0.149 μB per atom